#1
Compound: Ag2Hg
Source: the Alexandria database
Functional: PBEsol
Structure: optimized geometry

For the calculated volume, the calculation gives 53.6 Å³/f.u.

```
Ag2Hg
1.0
3.001 0.000 0.000
0.000 4.030 0.000
-1.500 -2.015 4.436
Hg Ag
1 2
direct
0.000 0.000 0.000
0.670 0.670 0.339
0.330 0.330 0.661
```


#2
Compound: Ag2Hg
Source: the Alexandria database
Functional: PBEsol
Structure: optimized geometry

For the calculated volume, the calculation gives 53.9 Å³/f.u.

```
Ag2Hg
1.0
-1.174 -0.303 2.717
1.975 -2.139 0.615
3.467 5.406 0.473
Hg Ag
1 2
direct
0.000 0.000 0.000
0.671 0.671 0.342
0.329 0.329 0.658
```


Most favorable structure: #1. The second most favorable one is 0.5 kJ/mol of atoms above it.


#1
Compound: AgRuRh2
Source: the Alexandria database
Functional: PBEsol
Structure: optimized geometry

For the calculated volume, the calculation gives 56.3 Å³/f.u.

```
AgRuRh2
1.0
2.697 0.000 0.000
-1.349 4.476 -0.002
0.000 -0.806 4.665
Ag Rh Ru
1 2 1
direct
0.500 0.000 0.000
0.744 0.488 0.738
0.256 0.512 0.262
0.000 0.000 0.500
```


#2
Compound: AgRuRh2
Source: the Alexandria database
Functional: PBEsol
Structure: optimized geometry

For the calculated volume, the calculation gives 56.3 Å³/f.u.

```
AgRuRh2
1.0
-2.821 -1.623 1.953
0.809 -3.341 -1.609
3.484 1.680 2.740
Ag Rh Ru
1 2 1
direct
0.250 0.750 0.500
0.000 0.000 0.000
0.750 0.250 0.500
0.500 0.500 0.000
```


Most favorable structure: #1. The second most favorable one is 6.5 kJ/mol of atoms above it.


#1
Compound: MgZnAs2
Source: the Alexandria database
Functional: PBEsol
Structure: optimized geometry

For the calculated volume, the calculation gives 73.1 Å³/f.u.

```
MgZnAs2
1.0
2.894 0.000 0.000
0.000 4.684 0.000
0.000 0.000 5.396
As Mg Zn
2 1 1
direct
0.500 0.875 0.000
0.000 0.375 0.500
0.000 0.375 0.000
0.500 0.875 0.500
```


#2
Compound: MgZnAs2
Source: the Alexandria database
Functional: PBEsol
Structure: optimized geometry

For the calculated volume, the calculation gives 75.1 Å³/f.u.

```
MgZnAs2
1.0
2.993 0.000 0.000
1.497 2.592 0.000
1.497 0.864 9.673
As Mg Zn
2 1 1
direct
0.985 0.985 0.044
0.762 0.762 0.714
0.505 0.505 0.485
0.248 0.248 0.257
```


Most favorable structure: #1. The second most favorable one is 21.0 kJ/mol of atoms above it.


#1
Compound: NdGaCo4
Source: the Alexandria database
Functional: PBEsol
Structure: optimized geometry

For the calculated volume, the calculation gives 83.6 Å³/f.u.

```
NdGaCo4
1.0
3.964 0.000 0.000
0.000 8.548 0.000
0.000 -4.274 7.403
Nd Ga Co
3 3 12
direct
0.000 0.333 0.667
0.000 0.667 0.333
0.000 0.000 0.000
0.500 0.000 0.500
0.500 0.500 0.000
0.500 0.500 0.500
0.500 0.678 0.839
0.500 0.322 0.161
0.500 0.161 0.322
0.500 0.839 0.678
0.500 0.161 0.839
0.500 0.839 0.161
0.000 0.000 0.677
0.000 0.000 0.323
0.000 0.677 0.000
0.000 0.323 0.000
0.000 0.323 0.323
0.000 0.677 0.677
```


#2
Compound: NdGaCo4
Source: the Alexandria database
Functional: PBEsol
Structure: optimized geometry

For the calculated volume, the calculation gives 84.3 Å³/f.u.

```
NdGaCo4
1.0
3.811 0.000 0.000
0.000 5.053 0.000
0.000 -2.527 4.376
Co Nd Ga
4 1 1
direct
0.000 0.333 0.667
0.500 0.495 0.505
0.500 0.010 0.505
0.500 0.495 0.990
0.000 0.000 0.000
0.000 0.667 0.333
```


Most favorable structure: #1. The second most favorable one is 1.7 kJ/mol of atoms above it.


#1
Compound: NaCu2Bi2
Source: the Alexandria database
Functional: PBEsol
Structure: optimized geometry

For the calculated volume, the calculation gives 117.3 Å³/f.u.

```
NaCu2Bi2
1.0
-1.042 0.341 4.246
-2.312 -3.716 -0.269
6.656 -1.517 -0.510
Na Bi Cu
1 2 2
direct
0.000 0.000 0.000
0.373 0.373 0.746
0.627 0.627 0.254
0.250 0.750 0.500
0.750 0.250 0.500
```


#2
Compound: NaCu2Bi2
Source: the Alexandria database
Functional: PBEsol
Structure: optimized geometry

For the calculated volume, the calculation gives 117.2 Å³/f.u.

```
NaCu2Bi2
1.0
-1.417 4.581 0.617
-4.618 -1.374 -0.399
2.807 -2.336 4.847
Na Bi Cu
1 2 2
direct
0.000 0.000 0.000
0.250 0.750 0.500
0.750 0.250 0.500
0.381 0.381 0.761
0.619 0.619 0.239
```


Most favorable structure: #1. The second most favorable one is 5.2 kJ/mol of atoms above it.


#1
Compound: RuPt2Rh
Source: the Alexandria database
Functional: PBEsol
Structure: optimized geometry

For the calculated volume, the calculation gives 57.9 Å³/f.u.

```
RuPt2Rh
1.0
-1.074 3.363 -2.530
-4.139 0.601 -1.172
-2.263 3.321 1.647
Pt Rh Ru
2 1 1
direct
0.750 0.750 0.750
0.250 0.250 0.250
0.000 0.000 0.000
0.500 0.500 0.500
```


#2
Compound: RuPt2Rh
Source: the Alexandria database
Functional: PBEsol
Structure: optimized geometry

For the calculated volume, the calculation gives 56.5 Å³/f.u.

```
RuPt2Rh
1.0
-0.406 -3.699 -0.897
3.493 -0.721 1.389
-3.065 1.534 3.231
Ru Rh Pt
1 1 2
direct
0.000 0.000 0.000
0.500 0.500 0.000
0.750 0.250 0.500
0.250 0.750 0.500
```


Most favorable structure: #2. The second most favorable one is 30.4 kJ/mol of atoms above it.


#1
Compound: CdPb2
Source: the Alexandria database
Functional: PBEsol
Structure: optimized geometry

For the calculated volume, the calculation gives 80.8 Å³/f.u.

```
CdPb2
1.0
-0.544 0.403 3.420
-2.595 -2.324 -0.139
5.885 -3.934 -0.378
Pb Cd
2 1
direct
0.156 0.156 0.313
0.844 0.844 0.687
0.500 0.500 0.000
```


#2
Compound: CdPb2
Source: the Alexandria database
Functional: PBEsol
Structure: optimized geometry

For the calculated volume, the calculation gives 81.6 Å³/f.u.

```
CdPb2
1.0
3.390 0.000 0.000
-1.695 7.134 0.404
0.000 -1.831 6.648
Pb Cd
4 2
direct
0.361 0.722 0.722
0.361 0.722 0.222
0.036 0.071 0.544
0.687 0.373 0.901
0.028 0.056 0.066
0.694 0.388 0.378
```


Most favorable structure: #1. The second most favorable one is 1.4 kJ/mol of atoms above it.


#1
Compound: Tc2Os
Source: the Alexandria database
Functional: PBEsol
Structure: optimized geometry

For the calculated volume, the calculation gives 41.8 Å³/f.u.

```
Tc2Os
1.0
2.723 0.000 -0.001
-1.362 4.931 0.003
-0.001 -1.536 6.223
Os Tc
2 4
direct
0.001 0.001 0.000
0.666 0.332 0.333
0.389 0.778 0.278
0.056 0.113 0.612
0.333 0.666 0.666
0.722 0.443 0.945
```


#2
Compound: Tc2Os
Source: the Alexandria database
Functional: PBEsol
Structure: optimized geometry

For the calculated volume, the calculation gives 49.9 Å³/f.u.

```
Tc2Os
1.0
-0.050 4.115 -0.387
-3.220 2.170 1.419
0.433 2.396 3.341
Os Tc
1 2
direct
0.000 0.000 0.000
0.750 0.750 0.750
0.250 0.250 0.250
```


Most favorable structure: #1. The second most favorable one is 76.9 kJ/mol of atoms above it.


#1
Compound: K2FeOs
Source: the Alexandria database
Functional: PBEsol
Structure: optimized geometry

For the calculated volume, the calculation gives 75.7 Å³/f.u.

```
K2FeOs
1.0
-1.902 1.514 1.323
-0.726 -0.647 2.591
7.344 7.113 5.313
Fe K Os
1 2 1
direct
0.000 0.000 0.000
0.249 0.249 0.254
0.751 0.751 0.746
0.500 0.500 0.500
```


#2
Compound: K2FeOs
Source: the Alexandria database
Functional: PBEsol
Structure: optimized geometry

For the calculated volume, the calculation gives 74.8 Å³/f.u.

```
K2FeOs
1.0
2.652 -0.041 0.000
-0.345 5.009 0.000
0.000 0.000 5.634
Fe K Os
1 2 1
direct
0.500 0.000 0.500
0.274 0.248 0.000
0.726 0.752 0.000
0.000 0.500 0.500
```


Most favorable structure: #2. The second most favorable one is 1.4 kJ/mol of atoms above it.


#1
Compound: Y2PSe
Source: the Alexandria database
Functional: PBEsol
Structure: optimized geometry

For the calculated volume, the calculation gives 91.4 Å³/f.u.

```
Y2PSe
1.0
3.912 0.000 0.000
1.956 3.387 0.000
1.956 1.129 6.901
Y P Se
2 1 1
direct
0.008 0.008 0.975
0.825 0.825 0.526
0.418 0.418 0.746
0.249 0.249 0.253
```


#2
Compound: Y2PSe
Source: the Alexandria database
Functional: PBEsol
Structure: optimized geometry

For the calculated volume, the calculation gives 83.5 Å³/f.u.

```
Y2PSe
1.0
-0.404 2.235 4.349
-4.414 0.570 2.065
-1.196 -2.593 3.989
P Se Y
1 1 2
direct
0.000 0.000 0.000
0.500 0.500 0.500
0.250 0.250 0.250
0.750 0.750 0.750
```


Most favorable structure: #1. The second most favorable one is 37.7 kJ/mol of atoms above it.


#1
Compound: Sc2TcMo
Source: the Alexandria database
Functional: PBEsol
Structure: optimized geometry

For the calculated volume, the calculation gives 73.2 Å³/f.u.

```
Sc2TcMo
1.0
3.118 0.000 0.000
0.000 3.118 0.000
0.000 0.000 7.531
Sc Mo Tc
2 1 1
direct
0.000 0.000 0.957
0.500 0.500 0.300
0.500 0.500 0.715
0.000 0.000 0.527
```


#2
Compound: Sc2TcMo
Source: the Alexandria database
Functional: PBEsol
Structure: optimized geometry

For the calculated volume, the calculation gives 68.4 Å³/f.u.

```
Sc2TcMo
1.0
-1.855 1.152 3.170
-3.311 0.068 -1.962
1.812 -5.011 0.544
Mo Sc Tc
1 2 1
direct
0.000 0.000 0.000
0.750 0.250 0.500
0.250 0.750 0.500
0.500 0.500 0.000
```


Most favorable structure: #1. The second most favorable one is 30.4 kJ/mol of atoms above it.


#1
Compound: LaYSc2
Source: the Alexandria database
Functional: PBEsol
Structure: optimized geometry

For the calculated volume, the calculation gives 110.5 Å³/f.u.

```
LaYSc2
1.0
-2.935 -1.197 1.483
1.881 -4.083 0.429
2.453 1.792 6.302
Y Sc La
1 2 1
direct
0.500 0.500 0.000
0.000 0.000 0.756
0.000 0.000 0.244
0.500 0.500 0.500
```


#2
Compound: LaYSc2
Source: the Alexandria database
Functional: PBEsol
Structure: optimized geometry

For the calculated volume, the calculation gives 111.5 Å³/f.u.

```
LaYSc2
1.0
-2.743 3.967 -0.230
-3.854 -2.587 1.332
4.260 0.241 4.041
Y Sc La
1 2 1
direct
0.500 0.500 0.000
0.000 0.000 0.000
0.750 0.250 0.500
0.250 0.750 0.500
```


Most favorable structure: #1. The second most favorable one is 2.7 kJ/mol of atoms above it.